K3VAg2F9, optimized geometry, DFT PBE+U; N(E_F) = 1.478 states/eV per cell; calculated total energy = -67.69 eV for the cell shown
1.0
-0.476 3.067 5.557
-5.229 -1.232 -3.413
-0.800 -6.781 3.673
F K Ag V
9 3 2 1
Direct
0.859 0.719 0.639
0.141 0.859 0.361
0.141 0.281 0.361
0.000 0.500 0.000
0.281 0.141 0.639
0.859 0.141 0.639
0.500 0.000 0.000
0.719 0.859 0.361
0.500 0.500 0.000
0.333 0.667 0.753
0.000 0.000 0.000
0.667 0.333 0.247
0.667 0.333 0.809
0.333 0.667 0.191
0.000 0.000 0.500